The following is a DFT calculation (meta-GGA SCAN) of a PBEsol-optimized structure of TaAlSb2.

Properties
Its formation energy without anion corrections is 0.292 eV per atom. Its crystal system is monoclinic.

```
data_TaAlSb2
_cell_length_a 3.133
_cell_length_b 5.161
_cell_length_c 5.328
_cell_angle_alpha 95.29
_cell_angle_beta 90.00
_cell_angle_gamma 107.67
_space_group_name_H-M_alt 'P 1'
_space_group_IT_number 1
loop_
_space_group_symop_operation_xyz
'x,y,z'
loop_
_atom_site_label
_atom_site_type_symbol
_atom_site_fract_x
_atom_site_fract_y
_atom_site_fract_z
Sb1 Sb 0.769 0.539 0.760
Sb2 Sb 0.231 0.461 0.240
Al1 Al 0.000 0.000 0.500
Ta1 Ta 0.500 0.000 0.000
```

***

The following is a DFT calculation (meta-GGA SCAN) of a PBEsol-optimized structure of Al2TcSb.

Properties
Its formation energy without anion corrections is 0.112 eV per atom. Its crystal system is tetragonal.

```
data_Al2TcSb
_cell_length_a 4.082
_cell_length_b 4.082
_cell_length_c 4.881
_cell_angle_alpha 114.71
_cell_angle_beta 114.71
_cell_angle_gamma 90.00
_space_group_name_H-M_alt 'P 1'
_space_group_IT_number 1
loop_
_space_group_symop_operation_xyz
'x,y,z'
loop_
_atom_site_label
_atom_site_type_symbol
_atom_site_fract_x
_atom_site_fract_y
_atom_site_fract_z
Sb1 Sb 0.500 0.500 0.000
Al1 Al 0.000 0.000 0.000
Al2 Al 0.750 0.250 0.500
Tc1 Tc 0.250 0.750 0.500
```

***

The following is a DFT calculation (meta-GGA SCAN) of a PBEsol-optimized structure of Al2TcSb.

Properties
Its formation energy without anion corrections is 0.181 eV per atom. Its crystal system is tetragonal.

```
data_Al2TcSb
_cell_length_a 3.973
_cell_length_b 3.973
_cell_length_c 4.156
_cell_angle_alpha 90.00
_cell_angle_beta 90.00
_cell_angle_gamma 90.00
_space_group_name_H-M_alt 'P 1'
_space_group_IT_number 1
loop_
_space_group_symop_operation_xyz
'x,y,z'
loop_
_atom_site_label
_atom_site_type_symbol
_atom_site_fract_x
_atom_site_fract_y
_atom_site_fract_z
Al1 Al 0.500 0.000 0.000
Al2 Al 0.000 0.500 0.000
Tc1 Tc 0.000 0.000 0.500
Sb1 Sb 0.500 0.500 0.500
```

***

The following is a DFT calculation (meta-GGA SCAN) of a PBEsol-optimized structure of Al2TcSb.

Properties
Its formation energy without anion corrections is 0.199 eV per atom. Its crystal system is cubic.

```
data_Al2TcSb
_cell_length_a 4.544
_cell_length_b 4.544
_cell_length_c 4.544
_cell_angle_alpha 60.00
_cell_angle_beta 60.00
_cell_angle_gamma 60.00
_space_group_name_H-M_alt 'P 1'
_space_group_IT_number 1
loop_
_space_group_symop_operation_xyz
'x,y,z'
loop_
_atom_site_label
_atom_site_type_symbol
_atom_site_fract_x
_atom_site_fract_y
_atom_site_fract_z
Al1 Al 0.250 0.250 0.250
Al2 Al 0.000 0.000 0.000
Sb1 Sb 0.500 0.500 0.500
Tc1 Tc 0.750 0.750 0.750
```

***

The following is a DFT calculation (meta-GGA SCAN) of a PBEsol-optimized structure of Al2TcSb.

Properties
Its formation energy without anion corrections is 0.217 eV per atom. Its crystal system is monoclinic.

```
data_Al2TcSb
_cell_length_a 3.209
_cell_length_b 4.605
_cell_length_c 5.412
_cell_angle_alpha 114.27
_cell_angle_beta 106.00
_cell_angle_gamma 92.80
_space_group_name_H-M_alt 'P 1'
_space_group_IT_number 1
loop_
_space_group_symop_operation_xyz
'x,y,z'
loop_
_atom_site_label
_atom_site_type_symbol
_atom_site_fract_x
_atom_site_fract_y
_atom_site_fract_z
Tc1 Tc 0.000 0.000 0.000
Al1 Al 0.000 0.000 0.500
Al2 Al 0.500 0.500 0.500
Sb1 Sb 0.500 0.500 0.000
```

***

The following is a DFT calculation (meta-GGA SCAN) of a PBEsol-optimized structure of AlSbTe2W.

Properties
Its formation energy without anion corrections is 1.405 eV per atom. The calculation puts the distance to the lowest polymorph of the same formula at 564 meV/atom. Its crystal system is tetragonal.

```
data_AlSbTe2W
_cell_length_a 5.045
_cell_length_b 5.131
_cell_length_c 5.131
_cell_angle_alpha 90.00
_cell_angle_beta 90.00
_cell_angle_gamma 90.00
_space_group_name_H-M_alt 'P 1'
_space_group_IT_number 1
loop_
_space_group_symop_operation_xyz
'x,y,z'
loop_
_atom_site_label
_atom_site_type_symbol
_atom_site_fract_x
_atom_site_fract_y
_atom_site_fract_z
W1 W 0.500 0.500 0.500
Te1 Te 0.000 0.500 0.000
Te2 Te 0.000 0.000 0.500
Al1 Al 0.000 0.000 0.000
Sb1 Sb 0.500 0.000 0.000
```

***

The following is a DFT calculation (meta-GGA SCAN) of a PBEsol-optimized structure of AlSbTe2W.

Properties
Its formation energy without anion corrections is 0.841 eV per atom. The calculation puts the distance to the lowest polymorph of the same formula at 0 meV/atom. Its crystal system is tetragonal.

```
data_AlSbTe2W
_cell_length_a 5.206
_cell_length_b 5.286
_cell_length_c 5.286
_cell_angle_alpha 90.00
_cell_angle_beta 90.00
_cell_angle_gamma 90.00
_space_group_name_H-M_alt 'P 1'
_space_group_IT_number 1
loop_
_space_group_symop_operation_xyz
'x,y,z'
loop_
_atom_site_label
_atom_site_type_symbol
_atom_site_fract_x
_atom_site_fract_y
_atom_site_fract_z
W1 W 0.000 0.000 0.000
Te1 Te 0.000 0.500 0.000
Te2 Te 0.000 0.000 0.500
Al1 Al 0.500 0.500 0.500
Sb1 Sb 0.500 0.000 0.000
```

***

The following is a DFT calculation (meta-GGA SCAN) of a PBEsol-optimized structure of ZrAlSbTe2.

Properties
Its formation energy without anion corrections is 0.423 eV per atom. The calculation puts the distance to the lowest polymorph of the same formula at 268 meV/atom. Its crystal system is tetragonal.

```
data_ZrAlSbTe2
_cell_length_a 5.095
_cell_length_b 5.189
_cell_length_c 5.189
_cell_angle_alpha 90.00
_cell_angle_beta 90.00
_cell_angle_gamma 90.00
_space_group_name_H-M_alt 'P 1'
_space_group_IT_number 1
loop_
_space_group_symop_operation_xyz
'x,y,z'
loop_
_atom_site_label
_atom_site_type_symbol
_atom_site_fract_x
_atom_site_fract_y
_atom_site_fract_z
Al1 Al 0.000 0.000 0.000
Zr1 Zr 0.500 0.500 0.500
Te1 Te 0.000 0.000 0.500
Te2 Te 0.000 0.500 0.000
Sb1 Sb 0.500 0.000 0.000
```